1.
The following is a DFT calculation (GGA-PBE) of a relaxed ScMnPBr2 crystal.

Geometry as POSCAR:
```
ScMnPBr2
1.0
5.339 0.000 0.000
0.000 5.339 0.000
0.000 0.000 5.047
Sc Mn P Br
1 1 1 2
Cartesian
0.000 0.000 0.000 Sc
2.670 2.670 0.000 Mn
0.000 0.000 2.523 P
0.000 2.670 2.523 Br
2.670 0.000 2.523 Br
```

## Properties
* space group: P4/mmm


2.
The following is a DFT calculation (GGA-PBE) of a relaxed MnPSeBr2 crystal.

Geometry as POSCAR:
```
MnPSeBr2
1.0
4.870 0.000 0.000
0.000 4.870 0.000
0.000 0.000 4.612
Mn P Se Br
1 1 1 2
Cartesian
0.000 0.000 0.000 Mn
2.435 2.435 2.306 P
0.000 0.000 2.306 Se
0.000 2.435 0.000 Br
2.435 0.000 0.000 Br
```

## Properties
* energy above the lowest structure with this stoichiometry: 295.1 meV/atom
* space group: P4/mmm


3.
The following is a DFT calculation (GGA-PBE) of a relaxed MnP2SeBr crystal.

Geometry as POSCAR:
```
MnP2SeBr
1.0
4.279 0.000 0.000
0.000 4.279 0.000
0.000 0.000 5.326
Mn P Se Br
1 2 1 1
Cartesian
0.000 0.000 0.000 Mn
0.000 2.139 0.000 P
2.139 0.000 0.000 P
2.139 2.139 2.663 Se
0.000 0.000 2.663 Br
```

## Properties
* space group: P4/mmm


4.
The following is a DFT calculation (GGA-PBE) of a relaxed MnPSeBr2 crystal.

Geometry as POSCAR:
```
MnPSeBr2
1.0
4.984 0.000 0.000
0.000 4.984 0.000
0.000 0.000 5.129
Mn P Se Br
1 1 1 2
Cartesian
0.000 0.000 0.000 Mn
2.492 2.492 2.564 P
2.492 2.492 0.000 Se
0.000 2.492 2.564 Br
2.492 0.000 2.564 Br
```

## Properties
* energy above the lowest structure with this stoichiometry: 0.0 meV/atom
* space group: P4/mmm


| no. | DFT total energy (eV/f.u.) |
| --- | --- |
| 1 | -22.2 |
| 2 | -18.0 |
| 3 | -22.7 |
| 4 | -19.5 |